Entry 1:
Density functional theory data (GGA-PBE) for crystalline Ho4Ga12Re at its relaxed geometry.

The value obtained for the density of states at the Fermi level is 18.63 states/eV per cell. The calculation puts the total DFT energy (no corrections) at -151.123 eV for the cell shown. The value obtained for the formation energy from the elements is -0.499 eV per atom.

Cell lengths 8.6175, 8.6175, 8.6175 Å; angles 90.00, 90.00, 90.00 degrees
Space group Im-3m (No. 229)
One atom of each set of equivalent atoms:
Ho  0.2500  0.2500  0.2500
Ga  0.0000  0.0000  0.2923
Ga  0.0000  0.2500  0.5000
Re  0.0000  0.0000  0.0000

Entry 2:
Density functional theory data (GGA-PBE) for crystalline Ho3Ga4Rh2 at its relaxed geometry.

The value obtained for the density of states at the Fermi level is 9.94 states/eV per cell. The calculation puts the total DFT energy (no corrections) at -94.400 eV for the cell shown. The calculation puts the offset from the most stable computed form at 44 meV/atom. The value obtained for the formation energy from the elements is -0.740 eV per atom.

Cell lengths 10.3370, 4.3080, 8.3004 Å; angles 90.00, 104.06, 90.00 degrees
Space group C2/m (No. 12)
One atom of each set of equivalent atoms:
Ho  0.0000  0.0000  0.0000
Ho  0.1227  0.5000  0.3770
Ga  0.0858  0.0000  0.6519
Ga  0.2026  0.5000  0.0650
Rh  0.2021  0.5000  0.7551